Ca2Pr3In4 (GGA-PBE, relaxed); ΔE_f = -221 kJ/mol of formula units; ρ = 5.35 g/cm³; E_tot = -3.51 eV per atom; total magnetic moment = 0.0 μB per cell
1.0
3.671 -8.307 0.000
3.671 8.307 0.000
0.000 0.000 9.792
Ca Pr In
4 6 8
Direct
0.108 0.892 0.942 Ca
0.392 0.608 0.442 Ca
0.608 0.392 0.558 Ca
0.892 0.108 0.058 Ca
0.000 0.000 0.500 Pr
0.029 0.471 0.750 Pr
0.471 0.029 0.250 Pr
0.500 0.500 0.000 Pr
0.529 0.971 0.750 Pr
0.971 0.529 0.250 Pr
0.190 0.810 0.524 In
0.223 0.277 0.750 In
0.277 0.223 0.250 In
0.310 0.690 0.024 In
0.690 0.310 0.976 In
0.723 0.777 0.750 In
0.777 0.723 0.250 In
0.810 0.190 0.476 In